Compound: RbBiMo2Se
Source: the Alexandria database
Functional: PBE
Structure: optimized geometry

Lattice parameters (Å, degrees): 5.4006 5.4006 6.6822 90.00 90.00 90.00
With the nearest neighbours (Å) after each atom.
Element x y z (fractional)
Mo: 0.0000 0.5000 0.0000  2 Bi 2.70
Mo: 0.5000 0.0000 0.0000  2 Bi 2.70
Se: 0.5000 0.5000 0.5000  4 Rb 3.82
Bi: 0.0000 0.0000 0.0000  4 Mo 2.70
Rb: 0.0000 0.0000 0.5000  2 Bi 3.34

Properties
E in eV for the cell shown: -22.2
Calculated volume in Å³/atom: 38.98
Crystal system: tetragonal
Total magnetization in μB per cell: 7.41